[1]
Mg2ScTl after structural relaxation, computed with GGA-PBE.

Output
The space group is Immm. Its formation energy is -0.0826 eV per atom. The crystal system is orthorhombic.

The structure in extended XYZ format:
```
4
Lattice="6.103 -0.023 -0.037 3.038 5.293 0.037 -4.072 -3.501 2.901" Properties=species:S:1:pos:R:3 pbc="T T T"
Mg 0.053 0.031 0.000
Mg 4.518 2.605 0.000
Sc 3.301 -0.444 1.432
Tl 1.769 2.214 1.469
```

[2]
TaB2Sb2 after structural relaxation, computed with GGA-PBE.

Output
The space group is I4/mmm. The crystal system is tetragonal. The formation energy from raw total energies is 1.283 eV/atom.

The structure in extended XYZ format:
```
5
Lattice="-1.129 2.884 2.688 -3.763 -1.622 0.160 -1.005 -2.337 5.212" Properties=species:S:1:pos:R:3 pbc="T T T"
Sb -2.290 0.589 4.662
Sb -3.607 -1.664 3.398
B -2.222 0.169 2.014
B -3.675 -1.244 6.047
Ta 0.000 0.000 0.000
```

[3]
PmUTl2O8 after structural relaxation, computed with GGA-PBE.

Output
The space group is Cmmm. The crystal system is orthorhombic. The formation energy from raw total energies is -1.931 eV/atom.

The structure in extended XYZ format:
```
12
Lattice="5.194 -0.059 -0.003 -0.023 5.194 -0.006 0.004 0.008 7.010" Properties=species:S:1:pos:R:3 pbc="T T T"
Pm 0.002 0.004 3.505
U 0.000 0.000 0.000
Tl 2.589 2.574 5.269
Tl 2.586 2.570 1.733
O 0.910 4.252 1.537
O 3.619 3.601 -0.006
O 4.263 0.887 1.539
O 4.265 0.891 5.464
O 1.555 1.542 7.008
O 0.912 4.256 5.462
O 3.551 3.535 3.499
O 1.624 1.608 3.502
```

[4]
PuFeSi3 after structural relaxation, computed with GGA-PBE.

Output
The space group is Pnma. The crystal system is orthorhombic. The formation energy from raw total energies is -0.263 eV/atom.

The structure in extended XYZ format:
```
20
Lattice="3.614 0.000 0.000 0.000 7.564 0.000 0.000 0.000 10.438" Properties=species:S:1:pos:R:3 pbc="T T T"
Pu 2.711 6.785 0.078
Pu 0.904 4.561 5.297
Pu 2.711 3.003 5.141
Pu 0.904 0.779 10.361
Fe 0.904 0.707 6.757
Fe 0.904 4.489 8.900
Fe 2.711 3.075 1.538
Fe 2.711 6.857 3.681
Si 0.904 4.323 0.748
Si 2.711 3.240 9.690
Si 0.904 0.542 4.471
Si 2.711 7.022 5.967
Si 0.904 2.798 7.481
Si 2.711 0.984 2.262
Si 0.904 6.580 8.176
Si 2.711 4.822 7.568
Si 0.904 2.742 2.870
Si 2.711 1.040 8.090
Si 2.711 4.765 2.957
Si 0.904 6.524 2.349
```

[5]
Pr5Ho2Er4 after structural relaxation, computed with GGA-PBE.

Output
The space group is C2/m. Its formation energy is 0.0777 eV per atom. The crystal system is monoclinic.

The structure in extended XYZ format:
```
11
Lattice="3.497 0.000 -0.660 -0.197 11.609 -1.043 -0.105 0.197 9.031" Properties=species:S:1:pos:R:3 pbc="T T T"
Pr 2.980 5.552 6.193
Pr 0.214 6.254 1.135
Pr 2.628 10.909 4.328
Pr 1.749 0.000 -0.330
Pr 0.567 0.897 3.000
Ho 2.389 4.168 3.061
Ho 0.806 7.638 4.267
Er 1.141 2.522 6.044
Er 3.130 8.766 6.984
Er 2.053 9.285 1.284
Er 0.065 3.040 0.344
```

[6]
Pm4Te2AsBr after structural relaxation, computed with GGA-PBE.

Output
The space group is P2/m. The crystal system is monoclinic. The formation energy from raw total energies is -1.389 eV/atom.

The structure in extended XYZ format:
```
8
Lattice="-1.504 2.591 -3.091 -3.272 -5.951 -3.395 -7.052 -0.806 2.756" Properties=species:S:1:pos:R:3 pbc="T T T"
Pm -7.563 -4.949 -0.468
Pm -4.266 0.783 -3.263
Pm -5.068 -3.220 -3.230
Pm -6.761 -0.946 -0.501
Te -7.052 -0.806 2.756
Te -4.278 0.893 -0.168
As -5.162 -3.378 -0.320
Br -2.388 -1.680 -3.243
```

[7]
SrTePb2 after structural relaxation, computed with GGA-PBE.

Output
The space group is R-3m. The crystal system is trigonal. The formation energy from raw total energies is -0.180 eV/atom.

The structure in extended XYZ format:
```
4
Lattice="-1.276 -2.796 9.171 0.261 -6.301 7.333 2.911 -3.248 8.633" Properties=species:S:1:pos:R:3 pbc="T T T"
Pb 0.022 -0.143 0.291
Pb 0.926 -6.030 12.277
Sr 0.474 -3.086 6.284
Te 1.422 -9.259 18.852
```

[8]
LiLaTb2 after structural relaxation, computed with GGA-PBE.

Output
The space group is P4/mmm. Its formation energy is 0.0822 eV per atom. The crystal system is tetragonal.

The structure in extended XYZ format:
```
4
Lattice="3.713 0.000 0.000 0.000 3.713 0.000 0.000 0.000 8.722" Properties=species:S:1:pos:R:3 pbc="T T T"
Li 1.857 1.857 0.000
Tb 0.000 0.000 6.855
Tb 0.000 0.000 1.868
La 1.857 1.857 4.361
```